# 1
First-principles (PBE) data for a relaxed La8NiRu2 crystal, as listed in Alexandria.

Computed properties:
N(E_F)   10.97 states/eV per cell
Formation energy from the elements   -148 meV/atom
SG   No. 8

Unit cell a=7.865 b=7.865 c=6.582 alpha=101.49 beta=101.49 gamma=117.90
Fractional positions:
La 0.000 0.000 0.000
La 0.140 0.549 0.181
La 0.235 0.964 0.577
La 0.421 0.685 0.803
La 0.549 0.140 0.181
La 0.671 0.671 0.385
La 0.685 0.421 0.803
La 0.964 0.235 0.577
Ni 0.325 0.325 0.968
Ru 0.013 0.634 0.698
Ru 0.634 0.013 0.698



# 2
First-principles (PBE) data for a relaxed MnAsAu2 crystal, as listed in Alexandria.

Computed properties:
N(E_F)   1.61 states/eV per cell
Formation energy from the elements   87 meV/atom
SG   No. 8

Unit cell a=5.505 b=5.505 c=4.788 alpha=101.17 beta=101.17 gamma=30.68
Fractional positions:
Mn 0.000 0.000 0.000
As 0.717 0.717 0.102
Au 0.317 0.317 0.641
Au 0.562 0.562 0.512



# 3
First-principles (PBE) data for a relaxed Nd3NiI2 crystal, as listed in Alexandria.

Computed properties:
N(E_F)   4.77 states/eV per cell
SG   No. 12
Formation energy without anion corrections   -4.55 eV per formula unit

Unit cell a=7.508 b=7.508 c=8.231 alpha=98.85 beta=98.85 gamma=119.94
Fractional positions:
Nd 0.057 0.434 0.809
Nd 0.187 0.187 0.189
Nd 0.434 0.057 0.809
Nd 0.566 0.943 0.191
Nd 0.813 0.813 0.811
Nd 0.943 0.566 0.191
Ni 0.167 0.833 0.000
Ni 0.833 0.167 0.000
I 0.000 0.000 0.500
I 0.344 0.656 0.500
I 0.500 0.500 0.000
I 0.656 0.344 0.500



Among the records above, which one has the highest N(E_F)? La8NiRu2



What is the N(E_F) in the first record? 10.97 states/eV per cell



The highest N(E_F) belongs to which entry? La8NiRu2



N(E_F) of number 3 (Nd3NiI2)? 4.77 states/eV per cell